Compound: CeSm2ErS6
Source: the Alexandria database
Functional: PBE
Structure: optimized geometry

Calculated values
DOS at the Fermi energy, states/eV/cell: 4.922
Raw formation energy, meV/atom: -2005
Volume, Å³/atom: 26.96
Symmetry: R3, No. 146
Final energy, eV per cell: -64.8

Cell and atoms, written as CIF:
```
data_CeSm2ErS6
_cell_length_a 7.063
_cell_length_b 7.063
_cell_length_c 7.454
_cell_angle_alpha 61.72
_cell_angle_beta 61.72
_cell_angle_gamma 60.00
_symmetry_space_group_name_H-M 'P 1'
_symmetry_Int_Tables_number 1
_symmetry_space_group_name_Hall 'P 1'
loop_
_atom_site_label
_atom_site_fract_x
_atom_site_fract_y
_atom_site_fract_z
_atom_site_occupancy
Ce1 0.813 0.813 0.562 1
Sm1 0.521 0.521 0.437 1
Sm2 0.017 0.017 0.948 1
Er1 0.317 0.317 0.049 1
S1 0.607 0.213 0.251 1
S2 0.213 0.929 0.251 1
S3 0.929 0.607 0.251 1
S4 0.411 0.709 0.755 1
S5 0.709 0.125 0.755 1
S6 0.125 0.411 0.755 1
```


Compound: Ce3Sm2ErS6
Source: the Alexandria database
Functional: PBE
Structure: optimized geometry

Calculated values
DOS at the Fermi energy, states/eV/cell: 16.367
Raw formation energy, meV/atom: -2029
Volume, Å³/atom: 22.55
Symmetry: C2/m, No. 12
Final energy, eV per cell: -80.9

Cell and atoms, written as CIF:
```
data_Ce3Sm2ErS6
_cell_length_a 6.907
_cell_length_b 6.907
_cell_length_c 6.946
_cell_angle_alpha 99.55
_cell_angle_beta 99.55
_cell_angle_gamma 120.03
_symmetry_space_group_name_H-M 'P 1'
_symmetry_Int_Tables_number 1
_symmetry_space_group_name_Hall 'P 1'
loop_
_atom_site_label
_atom_site_fract_x
_atom_site_fract_y
_atom_site_fract_z
_atom_site_occupancy
Ce1 0.169 0.831 0.500 1
Ce2 0.831 0.169 0.500 1
Ce3 0.500 0.500 0.500 1
Sm1 0.334 0.666 0.000 1
Sm2 0.666 0.334 0.000 1
Er1 0.000 0.000 0.000 1
S1 0.919 0.594 0.758 1
S2 0.756 0.756 0.245 1
S3 0.081 0.406 0.242 1
S4 0.594 0.919 0.758 1
S5 0.244 0.244 0.755 1
S6 0.406 0.081 0.242 1
```


Compound: CeSm3Er3S8
Source: the Alexandria database
Functional: PBE
Structure: optimized geometry

Calculated values
DOS at the Fermi energy, states/eV/cell: 11.664
Raw formation energy, meV/atom: -2013
Volume, Å³/atom: 23.06
Symmetry: R-3m, No. 166
Final energy, eV per cell: -97.0

Cell and atoms, written as CIF:
```
data_CeSm3Er3S8
_cell_length_a 7.870
_cell_length_b 7.870
_cell_length_c 7.888
_cell_angle_alpha 119.93
_cell_angle_beta 90.00
_cell_angle_gamma 120.00
_symmetry_space_group_name_H-M 'P 1'
_symmetry_Int_Tables_number 1
_symmetry_space_group_name_Hall 'P 1'
loop_
_atom_site_label
_atom_site_fract_x
_atom_site_fract_y
_atom_site_fract_z
_atom_site_occupancy
Ce1 0.000 0.000 0.500 1
Sm1 0.000 0.000 0.000 1
Sm2 0.000 0.500 0.000 1
Sm3 0.500 0.500 0.000 1
Er1 0.500 0.000 0.500 1
Er2 0.500 0.500 0.500 1
Er3 0.000 0.500 0.500 1
S1 0.254 0.508 0.263 1
S2 0.746 0.492 0.737 1
S3 0.745 0.491 0.254 1
S4 0.255 0.509 0.746 1
S5 0.745 0.009 0.254 1
S6 0.255 0.991 0.746 1
S7 0.264 0.009 0.254 1
S8 0.736 0.991 0.746 1
```


Compound: Ce2Sm3ErS6
Source: the Alexandria database
Functional: PBE
Structure: optimized geometry

Calculated values
DOS at the Fermi energy, states/eV/cell: 12.190
Raw formation energy, meV/atom: -2023
Volume, Å³/atom: 22.46
Symmetry: C2/m, No. 12
Final energy, eV per cell: -79.6

Cell and atoms, written as CIF:
```
data_Ce2Sm3ErS6
_cell_length_a 6.915
_cell_length_b 6.915
_cell_length_c 6.912
_cell_angle_alpha 99.64
_cell_angle_beta 99.64
_cell_angle_gamma 120.07
_symmetry_space_group_name_H-M 'P 1'
_symmetry_Int_Tables_number 1
_symmetry_space_group_name_Hall 'P 1'
loop_
_atom_site_label
_atom_site_fract_x
_atom_site_fract_y
_atom_site_fract_z
_atom_site_occupancy
Ce1 0.334 0.666 0.000 1
Ce2 0.666 0.334 0.000 1
Sm1 0.168 0.832 0.500 1
Sm2 0.832 0.168 0.500 1
Sm3 0.500 0.500 0.500 1
Er1 0.000 0.000 0.000 1
S1 0.918 0.592 0.754 1
S2 0.757 0.757 0.248 1
S3 0.082 0.408 0.246 1
S4 0.592 0.918 0.754 1
S5 0.243 0.243 0.752 1
S6 0.408 0.082 0.246 1
```


Compound: Ce3SmEr2S6
Source: the Alexandria database
Functional: PBE
Structure: optimized geometry

Calculated values
DOS at the Fermi energy, states/eV/cell: 16.093
Raw formation energy, meV/atom: -2021
Volume, Å³/atom: 22.14
Symmetry: C2/m, No. 12
Final energy, eV per cell: -80.7

Cell and atoms, written as CIF:
```
data_Ce3SmEr2S6
_cell_length_a 6.850
_cell_length_b 6.850
_cell_length_c 6.930
_cell_angle_alpha 99.49
_cell_angle_beta 99.49
_cell_angle_gamma 120.04
_symmetry_space_group_name_H-M 'P 1'
_symmetry_Int_Tables_number 1
_symmetry_space_group_name_Hall 'P 1'
loop_
_atom_site_label
_atom_site_fract_x
_atom_site_fract_y
_atom_site_fract_z
_atom_site_occupancy
Ce1 0.164 0.836 0.500 1
Ce2 0.836 0.164 0.500 1
Ce3 0.500 0.500 0.500 1
Sm1 0.000 0.000 0.000 1
Er1 0.333 0.667 0.000 1
Er2 0.667 0.333 0.000 1
S1 0.920 0.579 0.761 1
S2 0.738 0.738 0.236 1
S3 0.080 0.421 0.239 1
S4 0.579 0.920 0.761 1
S5 0.262 0.262 0.764 1
S6 0.421 0.080 0.239 1
```


Compound: CeSmEr4S8
Source: the Alexandria database
Functional: PBE
Structure: optimized geometry

Calculated values
DOS at the Fermi energy, states/eV/cell: 12.498
Raw formation energy, meV/atom: -1905
Volume, Å³/atom: 26.72
Symmetry: R3m, No. 160
Final energy, eV per cell: -88.6

Cell and atoms, written as CIF:
```
data_CeSmEr4S8
_cell_length_a 8.058
_cell_length_b 8.058
_cell_length_c 8.118
_cell_angle_alpha 60.25
_cell_angle_beta 60.25
_cell_angle_gamma 60.00
_symmetry_space_group_name_H-M 'P 1'
_symmetry_Int_Tables_number 1
_symmetry_space_group_name_Hall 'P 1'
loop_
_atom_site_label
_atom_site_fract_x
_atom_site_fract_y
_atom_site_fract_z
_atom_site_occupancy
Ce1 0.374 0.374 0.879 1
Sm1 0.000 0.000 0.001 1
Er1 0.626 0.626 0.122 1
Er2 0.000 0.500 0.499 1
Er3 0.500 0.000 0.499 1
Er4 0.000 0.000 0.499 1
S1 0.243 0.784 0.729 1
S2 0.784 0.243 0.729 1
S3 0.243 0.243 0.729 1
S4 0.237 0.237 0.289 1
S5 0.751 0.232 0.266 1
S6 0.232 0.751 0.266 1
S7 0.751 0.751 0.266 1
S8 0.758 0.758 0.726 1
```


Compound: SrCeEr4S8
Source: the Alexandria database
Functional: PBE
Structure: optimized geometry

Calculated values
DOS at the Fermi energy, states/eV/cell: 10.203
Raw formation energy, meV/atom: -1962
Volume, Å³/atom: 27.49
Symmetry: R3m, No. 160
Final energy, eV per cell: -86.3

Cell and atoms, written as CIF:
```
data_SrCeEr4S8
_cell_length_a 8.114
_cell_length_b 8.114
_cell_length_c 8.217
_cell_angle_alpha 60.41
_cell_angle_beta 60.41
_cell_angle_gamma 60.00
_symmetry_space_group_name_H-M 'P 1'
_symmetry_Int_Tables_number 1
_symmetry_space_group_name_Hall 'P 1'
loop_
_atom_site_label
_atom_site_fract_x
_atom_site_fract_y
_atom_site_fract_z
_atom_site_occupancy
Sr1 0.374 0.374 0.877 1
Ce1 0.001 0.001 0.998 1
Er1 0.625 0.625 0.124 1
Er2 0.002 0.496 0.501 1
Er3 0.496 0.002 0.501 1
Er4 0.002 0.002 0.501 1
S1 0.242 0.793 0.724 1
S2 0.793 0.242 0.724 1
S3 0.242 0.242 0.724 1
S4 0.236 0.236 0.293 1
S5 0.750 0.232 0.268 1
S6 0.232 0.750 0.268 1
S7 0.750 0.750 0.268 1
S8 0.757 0.757 0.728 1
```


Compound: Tb3CeEr2S6
Source: the Alexandria database
Functional: PBE
Structure: optimized geometry

Calculated values
DOS at the Fermi energy, states/eV/cell: 9.485
Raw formation energy, meV/atom: -2000
Volume, Å³/atom: 21.35
Symmetry: C2/m, No. 12
Final energy, eV per cell: -77.7

Cell and atoms, written as CIF:
```
data_Tb3CeEr2S6
_cell_length_a 3.911
_cell_length_b 7.875
_cell_length_c 8.762
_cell_angle_alpha 102.81
_cell_angle_beta 102.89
_cell_angle_gamma 90.00
_symmetry_space_group_name_H-M 'P 1'
_symmetry_Int_Tables_number 1
_symmetry_space_group_name_Hall 'P 1'
loop_
_atom_site_label
_atom_site_fract_x
_atom_site_fract_y
_atom_site_fract_z
_atom_site_occupancy
Tb1 0.500 0.500 0.000 1
Tb2 0.836 0.165 0.672 1
Tb3 0.164 0.835 0.328 1
Ce1 0.500 0.000 0.000 1
Er1 0.835 0.671 0.670 1
Er2 0.165 0.329 0.330 1
S1 0.330 0.911 0.659 1
S2 0.669 0.580 0.338 1
S3 0.670 0.089 0.341 1
S4 0.002 0.258 0.004 1
S5 0.998 0.742 0.996 1
S6 0.331 0.420 0.662 1
```


Compound: Tb2CeEr3S6
Source: the Alexandria database
Functional: PBE
Structure: optimized geometry

Calculated values
DOS at the Fermi energy, states/eV/cell: 9.435
Raw formation energy, meV/atom: -1993
Volume, Å³/atom: 21.18
Symmetry: C2/m, No. 12
Final energy, eV per cell: -77.6

Cell and atoms, written as CIF:
```
data_Tb2CeEr3S6
_cell_length_a 3.893
_cell_length_b 7.869
_cell_length_c 8.755
_cell_angle_alpha 103.28
_cell_angle_beta 102.85
_cell_angle_gamma 90.00
_symmetry_space_group_name_H-M 'P 1'
_symmetry_Int_Tables_number 1
_symmetry_space_group_name_Hall 'P 1'
loop_
_atom_site_label
_atom_site_fract_x
_atom_site_fract_y
_atom_site_fract_z
_atom_site_occupancy
Tb1 0.835 0.670 0.670 1
Tb2 0.165 0.330 0.330 1
Ce1 0.500 0.000 0.000 1
Er1 0.500 0.500 0.000 1
Er2 0.835 0.165 0.670 1
Er3 0.165 0.835 0.330 1
S1 0.329 0.919 0.658 1
S2 0.666 0.587 0.333 1
S3 0.671 0.081 0.342 1
S4 0.999 0.260 0.998 1
S5 0.001 0.740 0.002 1
S6 0.334 0.413 0.667 1
```


Compound: TbCeEr2S6
Source: the Alexandria database
Functional: PBE
Structure: optimized geometry

Calculated values
DOS at the Fermi energy, states/eV/cell: 4.963
Raw formation energy, meV/atom: -2023
Volume, Å³/atom: 25.91
Symmetry: R3, No. 146
Final energy, eV per cell: -64.7

Cell and atoms, written as CIF:
```
data_TbCeEr2S6
_cell_length_a 6.967
_cell_length_b 6.967
_cell_length_c 7.360
_cell_angle_alpha 61.75
_cell_angle_beta 61.75
_cell_angle_gamma 60.00
_symmetry_space_group_name_H-M 'P 1'
_symmetry_Int_Tables_number 1
_symmetry_space_group_name_Hall 'P 1'
loop_
_atom_site_label
_atom_site_fract_x
_atom_site_fract_y
_atom_site_fract_z
_atom_site_occupancy
Tb1 0.315 0.315 0.056 1
Ce1 0.810 0.810 0.570 1
Er1 0.517 0.517 0.449 1
Er2 0.014 0.014 0.958 1
S1 0.620 0.225 0.246 1
S2 0.225 0.908 0.246 1
S3 0.908 0.620 0.246 1
S4 0.393 0.724 0.748 1
S5 0.724 0.136 0.748 1
S6 0.136 0.393 0.748 1
```


Compound: Tb3Ce3ErS8
Source: the Alexandria database
Functional: PBE
Structure: optimized geometry

Calculated values
DOS at the Fermi energy, states/eV/cell: 18.537
Raw formation energy, meV/atom: -2054
Volume, Å³/atom: 23.60
Symmetry: R-3m, No. 166
Final energy, eV per cell: -100.1

Cell and atoms, written as CIF:
```
data_Tb3Ce3ErS8
_cell_length_a 7.899
_cell_length_b 7.899
_cell_length_c 7.983
_cell_angle_alpha 119.66
_cell_angle_beta 90.00
_cell_angle_gamma 120.00
_symmetry_space_group_name_H-M 'P 1'
_symmetry_Int_Tables_number 1
_symmetry_space_group_name_Hall 'P 1'
loop_
_atom_site_label
_atom_site_fract_x
_atom_site_fract_y
_atom_site_fract_z
_atom_site_occupancy
Tb1 0.500 0.000 0.500 1
Tb2 0.500 0.500 0.500 1
Tb3 0.000 0.500 0.500 1
Ce1 0.000 0.000 0.000 1
Ce2 0.000 0.500 0.000 1
Ce3 0.500 0.500 0.000 1
Er1 0.000 0.000 0.500 1
S1 0.253 0.507 0.260 1
S2 0.747 0.493 0.740 1
S3 0.755 0.510 0.261 1
S4 0.245 0.490 0.739 1
S5 0.755 0.006 0.261 1
S6 0.245 0.994 0.739 1
S7 0.251 0.006 0.261 1
S8 0.749 0.994 0.739 1
```


Compound: TbCeEr2S4
Source: the Alexandria database
Functional: PBE
Structure: optimized geometry

Calculated values
DOS at the Fermi energy, states/eV/cell: 7.312
Raw formation energy, meV/atom: -1998
Volume, Å³/atom: 21.29
Symmetry: P2/m, No. 10
Final energy, eV per cell: -52.2

Cell and atoms, written as CIF:
```
data_TbCeEr2S4
_cell_length_a 3.894
_cell_length_b 6.780
_cell_length_c 6.829
_cell_angle_alpha 109.16
_cell_angle_beta 90.00
_cell_angle_gamma 90.00
_symmetry_space_group_name_H-M 'P 1'
_symmetry_Int_Tables_number 1
_symmetry_space_group_name_Hall 'P 1'
loop_
_atom_site_label
_atom_site_fract_x
_atom_site_fract_y
_atom_site_fract_z
_atom_site_occupancy
Tb1 0.000 0.000 0.000 1
Ce1 0.500 0.500 0.000 1
Er1 0.500 0.000 0.500 1
Er2 0.000 0.500 0.500 1
S1 0.500 0.249 0.259 1
S2 0.500 0.751 0.741 1
S3 0.000 0.242 0.738 1
S4 0.000 0.758 0.262 1
```


- Which of these has the highest raw formation energy?
  CeSmEr4S8